Entry from Alexandria via LeMat-Bulk: a geometry-optimized ZrCd2SiMo structure (PBE-GGA).

Cell: 4.8032 4.8032 4.6905 Å, 90.00 90.00 90.00°
Space group P4/mmm (No. 123)
Inequivalent atoms, fractional coordinates:
Zr (0.0000, 0.0000, 0.0000) (multiplicity 1)
Cd (0.0000, 0.5000, 0.5000) (multiplicity 2)
Si (0.5000, 0.5000, 0.5000) (multiplicity 1)
Mo (0.5000, 0.5000, 0.0000) (multiplicity 1)

## Properties
ΔE_f (raw)	774	meV/atom
density	6.75	g cm⁻³
E_tot	-22.76	eV per formula unit